Entry 1:
Here is crystalline Tm2CrPd9 at its relaxed geometry from Alexandria. Energies are from PBE. Values from VASP.

Structure (Quantum ESPRESSO input):
```
&SYSTEM
  ibrav = 0, nat = 12, ntyp = 3
/
ATOMIC_SPECIES
Tm 168.93 Tm.upf
Cr 52.00 Cr.upf
Pd 106.42 Pd.upf
ATOMIC_POSITIONS crystal
Tm 0.000 0.000 0.171
Tm 0.000 0.000 0.829
Cr 0.000 0.000 0.500
Pd 0.000 0.500 0.000
Pd 0.000 0.500 0.345
Pd 0.000 0.500 0.655
Pd 0.500 0.000 0.000
Pd 0.500 0.000 0.345
Pd 0.500 0.000 0.655
Pd 0.500 0.500 0.172
Pd 0.500 0.500 0.500
Pd 0.500 0.500 0.828
CELL_PARAMETERS angstrom
4.039 0.000 0.000
0.000 4.039 0.000
0.000 0.000 12.067
```

- Crystal system: tetragonal
- Calculated volume: 16.40 Å³ per atom

---

Entry 2:
Here is crystalline AcNd5Tl4 at its relaxed geometry from Alexandria. Energies are from PBE. Values from VASP.

Structure (Quantum ESPRESSO input):
```
&SYSTEM
  ibrav = 0, nat = 10, ntyp = 3
/
ATOMIC_SPECIES
Ac 227.00 Ac.upf
Nd 144.24 Nd.upf
Tl 204.38 Tl.upf
ATOMIC_POSITIONS crystal
Ac 0.000 0.000 0.000
Nd 0.500 0.500 0.121
Nd 0.500 0.500 0.310
Nd 0.500 0.500 0.500
Nd 0.500 0.500 0.690
Nd 0.500 0.500 0.879
Tl 0.000 0.000 0.214
Tl 0.000 0.000 0.405
Tl 0.000 0.000 0.595
Tl 0.000 0.000 0.786
CELL_PARAMETERS angstrom
3.721 0.000 0.000
0.000 3.721 0.000
0.000 0.000 22.819
```

- Crystal system: tetragonal
- Calculated volume: 31.60 Å³ per atom

---

Entry 3:
Here is crystalline NaHgBi at its relaxed geometry from Alexandria. Energies are from PBE. Values from VASP.

Structure (Quantum ESPRESSO input):
```
&SYSTEM
  ibrav = 0, nat = 3, ntyp = 3
/
ATOMIC_SPECIES
Na 22.99 Na.upf
Hg 200.59 Hg.upf
Bi 208.98 Bi.upf
ATOMIC_POSITIONS crystal
Na 0.000 0.000 0.000
Hg 0.649 0.649 0.000
Bi 0.325 0.325 0.000
CELL_PARAMETERS angstrom
-1.711 1.711 7.155
1.711 -1.711 7.155
1.711 1.711 -7.155
```

- Crystal system: tetragonal
- Calculated volume: 27.94 Å³ per atom

---

Entry 4:
Here is crystalline La2Tb2Tl at its relaxed geometry from Alexandria. Energies are from PBE. Values from VASP.

Structure (Quantum ESPRESSO input):
```
&SYSTEM
  ibrav = 0, nat = 10, ntyp = 3
/
ATOMIC_SPECIES
La 138.91 La.upf
Tb 158.93 Tb.upf
Tl 204.38 Tl.upf
ATOMIC_POSITIONS crystal
La 0.023 0.023 0.336
La 0.162 0.162 0.050
La 0.838 0.838 0.950
La 0.977 0.977 0.664
Tb 0.351 0.351 0.444
Tb 0.480 0.480 0.157
Tb 0.520 0.520 0.843
Tb 0.649 0.649 0.556
Tl 0.255 0.255 0.727
Tl 0.745 0.745 0.273
CELL_PARAMETERS angstrom
6.200 -2.796 0.000
6.200 2.796 0.000
-2.541 0.000 9.407
```

- Crystal system: monoclinic
- Calculated volume: 32.61 Å³ per atom

---

Entry 5:
Here is crystalline NiHOsRu2 at its relaxed geometry from Alexandria. Energies are from PBE. Values from VASP.

Structure (Quantum ESPRESSO input):
```
&SYSTEM
  ibrav = 0, nat = 5, ntyp = 4
/
ATOMIC_SPECIES
Ni 58.69 Ni.upf
H 1.01 H.upf
Os 190.23 Os.upf
Ru 101.07 Ru.upf
ATOMIC_POSITIONS crystal
Ni 0.000 0.000 0.000
H 0.000 0.000 0.500
Os 0.500 0.500 0.000
Ru 0.000 0.500 0.500
Ru 0.500 0.000 0.500
CELL_PARAMETERS angstrom
3.859 0.000 0.000
0.000 3.859 0.000
0.000 0.000 3.753
```

- Crystal system: tetragonal
- Calculated volume: 11.18 Å³ per atom

---

Entry 6:
Here is crystalline Na2Cd2In3 at its relaxed geometry from Alexandria. Energies are from PBE. Values from VASP.

Structure (Quantum ESPRESSO input):
```
&SYSTEM
  ibrav = 0, nat = 14, ntyp = 3
/
ATOMIC_SPECIES
Na 22.99 Na.upf
Cd 112.41 Cd.upf
In 114.82 In.upf
ATOMIC_POSITIONS crystal
Na 0.055 0.945 0.750
Na 0.154 0.846 0.250
Na 0.846 0.154 0.750
Na 0.945 0.055 0.250
Cd 0.308 0.692 0.059
Cd 0.308 0.692 0.441
Cd 0.692 0.308 0.559
Cd 0.692 0.308 0.941
In 0.230 0.770 0.750
In 0.438 0.562 0.579
In 0.438 0.562 0.921
In 0.562 0.438 0.079
In 0.562 0.438 0.421
In 0.770 0.230 0.250
CELL_PARAMETERS angstrom
2.356 -10.129 0.000
2.356 10.129 0.000
0.000 0.000 8.382
```

- Crystal system: orthorhombic
- Calculated volume: 28.57 Å³ per atom

---

Entry 7:
Here is crystalline ZnIrPb at its relaxed geometry from Alexandria. Energies are from PBE. Values from VASP.

Structure (Quantum ESPRESSO input):
```
&SYSTEM
  ibrav = 0, nat = 3, ntyp = 3
/
ATOMIC_SPECIES
Zn 65.41 Zn.upf
Ir 192.22 Ir.upf
Pb 207.20 Pb.upf
ATOMIC_POSITIONS crystal
Zn 0.000 0.000 0.000
Ir 0.602 0.602 0.000
Pb 0.291 0.291 0.000
CELL_PARAMETERS angstrom
-1.588 1.857 4.781
1.588 -1.857 4.781
1.588 1.857 -4.781
```

- Crystal system: orthorhombic
- Calculated volume: 18.80 Å³ per atom

---

Entry 8:
Here is crystalline Pm2SnO at its relaxed geometry from Alexandria. Energies are from PBE. Values from VASP.

Structure (Quantum ESPRESSO input):
```
&SYSTEM
  ibrav = 0, nat = 4, ntyp = 3
/
ATOMIC_SPECIES
Pm 145.00 Pm.upf
Sn 118.71 Sn.upf
O 16.00 O.upf
ATOMIC_POSITIONS crystal
Pm 0.000 0.000 0.198
Pm 0.000 0.000 0.802
Sn 0.500 0.500 0.500
O 0.500 0.500 0.000
CELL_PARAMETERS angstrom
3.226 0.000 0.000
0.000 3.226 0.000
0.000 0.000 7.937
```

- Crystal system: tetragonal
- Formation energy (no corrections): -1.30 eV per atom
- Calculated volume: 20.65 Å³ per atom

---

Entry 9:
Here is crystalline CeThGa3 at its relaxed geometry from Alexandria. Energies are from PBE. Values from VASP.

Structure (Quantum ESPRESSO input):
```
&SYSTEM
  ibrav = 0, nat = 10, ntyp = 3
/
ATOMIC_SPECIES
Ce 140.12 Ce.upf
Th 232.04 Th.upf
Ga 69.72 Ga.upf
ATOMIC_POSITIONS crystal
Ce 0.071 0.929 0.750
Ce 0.929 0.071 0.250
Th 0.205 0.795 0.250
Th 0.795 0.205 0.750
Ga 0.328 0.672 0.250
Ga 0.383 0.617 0.750
Ga 0.476 0.524 0.750
Ga 0.524 0.476 0.250
Ga 0.617 0.383 0.250
Ga 0.672 0.328 0.750
CELL_PARAMETERS angstrom
2.156 -13.139 0.000
2.156 13.139 0.000
0.000 0.000 4.198
```

- Crystal system: orthorhombic
- Calculated volume: 23.78 Å³ per atom

---

Entry 10:
Here is crystalline CaTlSnBr5 at its relaxed geometry from Alexandria. Energies are from PBE. Values from VASP.

Structure (Quantum ESPRESSO input):
```
&SYSTEM
  ibrav = 0, nat = 16, ntyp = 4
/
ATOMIC_SPECIES
Ca 40.08 Ca.upf
Tl 204.38 Tl.upf
Sn 118.71 Sn.upf
Br 79.90 Br.upf
ATOMIC_POSITIONS crystal
Ca 0.000 0.500 0.000
Ca 0.500 0.000 0.500
Tl 0.068 0.932 0.750
Tl 0.932 0.068 0.250
Sn 0.496 0.504 0.750
Sn 0.504 0.496 0.250
Br 0.180 0.226 0.073
Br 0.213 0.787 0.250
Br 0.226 0.180 0.573
Br 0.295 0.636 0.914
Br 0.364 0.705 0.586
Br 0.636 0.295 0.414
Br 0.705 0.364 0.086
Br 0.774 0.820 0.427
Br 0.787 0.213 0.750
Br 0.820 0.774 0.927
CELL_PARAMETERS angstrom
5.299 -5.920 0.000
5.299 5.920 0.000
-4.357 0.000 9.892
```

- Crystal system: monoclinic
- Formation energy (no corrections): -1.24 eV per atom
- Calculated volume: 38.79 Å³ per atom

---

Entry 11:
Here is crystalline Ho4Er3Pt4 at its relaxed geometry from Alexandria. Energies are from PBE. Values from VASP.

Structure (Quantum ESPRESSO input):
```
&SYSTEM
  ibrav = 0, nat = 11, ntyp = 3
/
ATOMIC_SPECIES
Ho 164.93 Ho.upf
Er 167.26 Er.upf
Pt 195.08 Pt.upf
ATOMIC_POSITIONS crystal
Ho 0.022 0.834 0.187
Ho 0.353 0.166 0.187
Ho 0.647 0.834 0.813
Ho 0.978 0.166 0.813
Er 0.000 0.500 0.500
Er 0.402 0.402 0.000
Er 0.598 0.598 0.000
Pt 0.257 0.757 0.500
Pt 0.293 0.000 0.293
Pt 0.707 0.000 0.707
Pt 0.743 0.243 0.500
CELL_PARAMETERS angstrom
-1.890 4.357 8.128
1.890 -4.357 8.128
1.890 4.357 -8.128
```

- Crystal system: orthorhombic
- Calculated volume: 24.34 Å³ per atom

---

Entry 12:
Here is crystalline LiFeRh4 at its relaxed geometry from Alexandria. Energies are from PBE. Values from VASP.

Structure (Quantum ESPRESSO input):
```
&SYSTEM
  ibrav = 0, nat = 12, ntyp = 3
/
ATOMIC_SPECIES
Li 6.94 Li.upf
Fe 55.84 Fe.upf
Rh 102.91 Rh.upf
ATOMIC_POSITIONS crystal
Li 0.084 0.083 0.154
Li 0.916 0.917 0.846
Fe 0.257 0.257 0.501
Fe 0.743 0.743 0.499
Rh 0.084 0.574 0.170
Rh 0.234 0.766 0.500
Rh 0.419 0.418 0.827
Rh 0.425 0.916 0.829
Rh 0.575 0.084 0.171
Rh 0.581 0.582 0.173
Rh 0.766 0.234 0.500
Rh 0.916 0.426 0.830
CELL_PARAMETERS angstrom
5.338 0.000 0.000
0.257 5.336 0.000
1.359 1.300 5.697
```

- Crystal system: triclinic
- Calculated volume: 13.52 Å³ per atom

---

Entry 13:
Here is crystalline Ti3BiTe at its relaxed geometry from Alexandria. Energies are from PBE. Values from VASP.

Structure (Quantum ESPRESSO input):
```
&SYSTEM
  ibrav = 0, nat = 5, ntyp = 3
/
ATOMIC_SPECIES
Ti 47.87 Ti.upf
Bi 208.98 Bi.upf
Te 127.60 Te.upf
ATOMIC_POSITIONS crystal
Ti 0.000 0.000 0.500
Ti 0.000 0.500 0.000
Ti 0.500 0.000 0.000
Bi 0.000 0.000 0.000
Te 0.500 0.500 0.500
CELL_PARAMETERS angstrom
5.289 0.000 0.000
0.000 5.289 0.000
0.000 0.000 5.289
```

- Crystal system: cubic
- Formation energy (no corrections): 0.86 eV per atom
- Calculated volume: 29.59 Å³ per atom

---

Entry 14:
Here is crystalline FePBr2 at its relaxed geometry from Alexandria. Energies are from PBE. Values from VASP.

Structure (Quantum ESPRESSO input):
```
&SYSTEM
  ibrav = 0, nat = 4, ntyp = 3
/
ATOMIC_SPECIES
Fe 55.84 Fe.upf
P 30.97 P.upf
Br 79.90 Br.upf
ATOMIC_POSITIONS crystal
Fe 0.000 0.000 0.000
P 0.500 0.500 0.169
Br 0.000 0.000 0.399
Br 0.500 0.500 0.804
CELL_PARAMETERS angstrom
1.635 -3.327 0.000
1.635 3.327 0.000
0.000 0.000 9.212
```

- Crystal system: orthorhombic
- Formation energy (no corrections): 0.25 eV per atom
- Calculated volume: 25.05 Å³ per atom

---

Entry 15:
Here is crystalline Pr6Rh2C at its relaxed geometry from Alexandria. Energies are from PBE. Values from VASP.

Structure (Quantum ESPRESSO input):
```
&SYSTEM
  ibrav = 0, nat = 18, ntyp = 3
/
ATOMIC_SPECIES
Pr 140.91 Pr.upf
Rh 102.91 Rh.upf
C 12.01 C.upf
ATOMIC_POSITIONS crystal
Pr 0.111 0.046 0.241
Pr 0.111 0.454 0.741
Pr 0.236 0.691 0.064
Pr 0.236 0.809 0.564
Pr 0.376 0.170 0.063
Pr 0.376 0.330 0.563
Pr 0.624 0.670 0.437
Pr 0.624 0.830 0.937
Pr 0.764 0.191 0.436
Pr 0.764 0.309 0.936
Pr 0.889 0.546 0.259
Pr 0.889 0.954 0.759
Rh 0.301 0.102 0.755
Rh 0.301 0.398 0.255
Rh 0.699 0.602 0.745
Rh 0.699 0.898 0.245
C 0.000 0.000 0.000
C 0.000 0.500 0.500
CELL_PARAMETERS angstrom
6.740 0.000 0.000
0.000 7.397 0.000
-6.507 0.000 9.990
```

- Crystal system: monoclinic
- Calculated volume: 27.67 Å³ per atom

---

Entry 16:
Here is crystalline CePmCoCl at its relaxed geometry from Alexandria. Energies are from PBE. Values from VASP.

Structure (Quantum ESPRESSO input):
```
&SYSTEM
  ibrav = 0, nat = 4, ntyp = 4
/
ATOMIC_SPECIES
Ce 140.12 Ce.upf
Pm 145.00 Pm.upf
Co 58.93 Co.upf
Cl 35.45 Cl.upf
ATOMIC_POSITIONS crystal
Ce 0.000 0.000 0.000
Pm 0.201 0.201 0.201
Co 0.609 0.609 0.609
Cl 0.436 0.436 0.436
CELL_PARAMETERS angstrom
1.940 1.120 7.562
-1.940 1.120 7.562
0.000 -2.240 7.562
```

- Crystal system: trigonal
- Formation energy (no corrections): -0.83 eV per atom
- Calculated volume: 24.65 Å³ per atom

---

Entry 17:
Here is crystalline ZrIn3Tc at its relaxed geometry from Alexandria. Energies are from PBE. Values from VASP.

Structure (Quantum ESPRESSO input):
```
&SYSTEM
  ibrav = 0, nat = 5, ntyp = 3
/
ATOMIC_SPECIES
Zr 91.22 Zr.upf
In 114.82 In.upf
Tc 98.00 Tc.upf
ATOMIC_POSITIONS crystal
Zr 0.000 0.000 0.000
In 0.000 0.500 0.500
In 0.500 0.000 0.500
In 0.500 0.500 0.000
Tc 0.500 0.500 0.500
CELL_PARAMETERS angstrom
5.070 0.000 0.000
0.000 5.070 0.000
0.000 0.000 5.070
```

- Crystal system: cubic
- Calculated volume: 26.06 Å³ per atom

---

Entry 18:
Here is crystalline K2CaSc at its relaxed geometry from Alexandria. Energies are from PBE. Values from VASP.

Structure (Quantum ESPRESSO input):
```
&SYSTEM
  ibrav = 0, nat = 4, ntyp = 3
/
ATOMIC_SPECIES
K 39.10 K.upf
Ca 40.08 Ca.upf
Sc 44.96 Sc.upf
ATOMIC_POSITIONS crystal
K 0.000 0.000 0.000
K 0.250 0.250 0.250
Ca 0.750 0.750 0.750
Sc 0.500 0.500 0.500
CELL_PARAMETERS angstrom
0.000 4.506 4.506
4.506 0.000 4.506
4.506 4.506 0.000
```

- Crystal system: cubic
- Calculated volume: 45.75 Å³ per atom

---

Entry 19:
Here is crystalline HoErW4 at its relaxed geometry from Alexandria. Energies are from PBE. Values from VASP.

Structure (Quantum ESPRESSO input):
```
&SYSTEM
  ibrav = 0, nat = 6, ntyp = 3
/
ATOMIC_SPECIES
Ho 164.93 Ho.upf
Er 167.26 Er.upf
W 183.84 W.upf
ATOMIC_POSITIONS crystal
Ho 0.000 0.000 0.000
Er 0.750 0.750 0.750
W 0.375 0.375 0.375
W 0.375 0.375 0.875
W 0.375 0.875 0.375
W 0.875 0.375 0.375
CELL_PARAMETERS angstrom
0.000 3.909 3.909
3.909 0.000 3.909
3.909 3.909 0.000
```

- Crystal system: cubic
- Calculated volume: 19.91 Å³ per atom

---

Entry 20:
Here is crystalline HoTc4Ge2 at its relaxed geometry from Alexandria. Energies are from PBE. Values from VASP.

Structure (Quantum ESPRESSO input):
```
&SYSTEM
  ibrav = 0, nat = 7, ntyp = 3
/
ATOMIC_SPECIES
Ho 164.93 Ho.upf
Tc 98.00 Tc.upf
Ge 72.64 Ge.upf
ATOMIC_POSITIONS crystal
Ho 0.000 0.000 0.000
Tc 0.192 0.808 0.500
Tc 0.302 0.698 0.000
Tc 0.698 0.302 0.000
Tc 0.808 0.192 0.500
Ge 0.413 0.587 0.500
Ge 0.587 0.413 0.500
CELL_PARAMETERS angstrom
2.064 -7.154 0.000
2.064 7.154 0.000
0.000 0.000 4.087
```

- Crystal system: orthorhombic
- Calculated volume: 17.24 Å³ per atom

---

Entry 21:
Here is crystalline Pm2Ge4Pd3Ru at its relaxed geometry from Alexandria. Energies are from PBE. Values from VASP.

Structure (Quantum ESPRESSO input):
```
&SYSTEM
  ibrav = 0, nat = 10, ntyp = 4
/
ATOMIC_SPECIES
Pm 145.00 Pm.upf
Ge 72.64 Ge.upf
Pd 106.42 Pd.upf
Ru 101.07 Ru.upf
ATOMIC_POSITIONS crystal
Pm 0.000 0.500 0.246
Pm 0.500 0.000 0.754
Ge 0.000 0.000 0.000
Ge 0.000 0.500 0.628
Ge 0.500 0.000 0.372
Ge 0.500 0.500 0.000
Pd 0.000 0.500 0.864
Pd 0.500 0.000 0.136
Pd 0.500 0.500 0.500
Ru 0.000 0.000 0.500
CELL_PARAMETERS angstrom
4.250 0.000 0.000
0.000 4.250 0.000
0.000 0.000 10.459
```

- Crystal system: tetragonal
- Calculated volume: 18.89 Å³ per atom

---

Entry 22:
Here is crystalline PmAlSb2 at its relaxed geometry from Alexandria. Energies are from PBE. Values from VASP.

Structure (Quantum ESPRESSO input):
```
&SYSTEM
  ibrav = 0, nat = 4, ntyp = 3
/
ATOMIC_SPECIES
Pm 145.00 Pm.upf
Al 26.98 Al.upf
Sb 121.76 Sb.upf
ATOMIC_POSITIONS crystal
Pm 0.000 0.000 0.000
Al 0.500 0.500 0.000
Sb 0.000 0.500 0.500
Sb 0.500 0.000 0.500
CELL_PARAMETERS angstrom
4.861 0.000 0.000
0.000 4.861 0.000
0.000 0.000 4.320
```

- Crystal system: tetragonal
- Formation energy (no corrections): -0.43 eV per atom
- Calculated volume: 25.52 Å³ per atom

---

Number 1: total DFT energy (no corrections) -6.0615 eV/atom. Number 2: total DFT energy (no corrections) -4.0437 eV/atom. Number 3: total DFT energy (no corrections) -2.0276 eV/atom. Number 4: total DFT energy (no corrections) -4.4069 eV/atom. Number 5: total DFT energy (no corrections) -7.5328 eV/atom. Number 6: total DFT energy (no corrections) -1.8509 eV/atom. Number 7: total DFT energy (no corrections) -4.4280 eV/atom. Number 8: total DFT energy (no corrections) -5.9133 eV/atom. Number 9: total DFT energy (no corrections) -5.0424 eV/atom. Number 10: total DFT energy (no corrections) -3.3292 eV/atom. Number 11: total DFT energy (no corrections) -6.0408 eV/atom. Number 12: total DFT energy (no corrections) -6.6821 eV/atom. Number 13: total DFT energy (no corrections) -5.2790 eV/atom. Number 14: total DFT energy (no corrections) -4.0591 eV/atom. Number 15: total DFT energy (no corrections) -6.1840 eV/atom. Number 16: total DFT energy (no corrections) -5.7408 eV/atom. Number 17: total DFT energy (no corrections) -4.7730 eV/atom. Number 18: total DFT energy (no corrections) -2.0623 eV/atom. Number 19: total DFT energy (no corrections) -10.0375 eV/atom. Number 20: total DFT energy (no corrections) -8.2812 eV/atom. Number 21: total DFT energy (no corrections) -6.0496 eV/atom. Number 22: total DFT energy (no corrections) -4.6183 eV/atom.